This record from the Alexandria database describes CoBiO3 after structural relaxation. The functional is PBE with a Hubbard U.

Output
VASP energy	-5.796	eV per atom
symmetry	Pnma, No. 62

extended XYZ file:
```
20
Lattice="-2.764 3.259 3.286 -4.237 0.345 -3.906 -3.401 -6.063 3.153" Properties=species:S:1:pos:R:3 pbc="T T T"
O -7.481 -0.432 1.176
O -5.108 -0.905 2.827
Co -3.819 -2.859 -0.377
O -5.581 1.614 1.704
Co -9.020 -4.088 0.889
O -1.528 0.456 0.065
Bi -4.858 -1.144 -2.821
Co -7.319 -1.057 -0.687
Bi -6.362 -2.675 1.854
Bi -5.544 -1.314 5.353
O -3.902 0.929 -1.585
O -7.795 -2.892 -0.110
O -8.874 -2.914 2.467
O -4.821 -4.073 0.828
O -6.500 -3.387 4.117
O -5.294 -1.553 -0.295
O -2.607 0.433 2.642
Co -5.519 -5.890 1.199
Bi -4.040 0.216 0.678
O -2.921 -2.026 1.356
```